1.
Compound: CaZrFe2Co
Source: Alexandria
Functional: PBE-GGA
Structure: relaxed

Computed properties:
* size of the total moment: 5.04 μB/f.u.
* DOS at the Fermi energy: 7.4 states/eV/cell
* formation energy: 92.7 kJ per mole of atoms

Cell lengths 4.7469, 4.7199, 4.7469 Å; angles 90.00, 90.00, 90.00 degrees
With the nearest neighbours (Å) after each atom.
Sites, in units of the cell vectors:
Zr 0.0000 0.0000 0.0000  2 Co 2.36, 4 Fe 2.37
Ca 0.5000 0.5000 0.5000  8 Fe 3.35, 4 Co 3.36
Fe 0.5000 0.0000 0.0000  2 Zr 2.37
Fe 0.0000 0.0000 0.5000  2 Zr 2.37
Co 0.0000 0.5000 0.0000  2 Zr 2.36

***

2.
Compound: CaGa4Co3
Source: Alexandria
Functional: PBE-GGA
Structure: relaxed

Computed properties:
* size of the total moment: 2.93 μB/f.u.
* DOS at the Fermi energy: 5.9 states/eV/cell
* formation energy: 7.5 kJ per mole of atoms

Cell lengths 4.4881, 4.4881, 7.2978 Å; angles 90.00, 90.00, 90.00 degrees
With the nearest neighbours (Å) after each atom.
Sites, in units of the cell vectors:
Ga 0.5000 0.0000 0.2015  2 Co 2.27
Ga 0.0000 0.5000 0.2015  2 Co 2.27
Ga 0.5000 0.0000 0.7985  2 Co 2.27
Ga 0.0000 0.5000 0.7985  2 Co 2.27
Co 0.5000 0.5000 0.1519  1 Co 2.22, 4 Ga 2.27
Co 0.5000 0.5000 0.8481  1 Co 2.22, 4 Ga 2.27
Co 0.0000 0.0000 0.0000  8 Ga 2.68
Ca 0.0000 0.0000 0.5000  8 Ga 3.13

***

3.
Compound: CaGa9Co2
Source: Alexandria
Functional: PBE-GGA
Structure: relaxed

Computed properties:
* size of the total moment: 0.00 μB/f.u.
* DOS at the Fermi energy: 11.7 states/eV/cell
* formation energy: -18.4 kJ per mole of atoms

Cell lengths 6.6683, 8.4039, 8.4039 Å; angles 80.94, 66.63, 66.63 degrees
With the nearest neighbours (Å) after each atom.
Sites, in units of the cell vectors:
Ga 0.3135 0.6886 0.0709  2 Co 2.56-2.58, 6 Ga 2.62-2.80
Ga 0.6769 0.5709 0.1886  2 Co 2.56-2.58, 6 Ga 2.62-2.80
Ga 0.6155 0.3114 0.0709  2 Co 2.56-2.58, 6 Ga 2.62-2.80
Ga 0.0731 0.3114 0.9291  2 Co 2.56-2.58, 6 Ga 2.62-2.80
Ga 0.4365 0.4291 0.8114  2 Co 2.56-2.58, 6 Ga 2.62-2.80
Ga 0.7500 0.5000 0.5000  8 Ga 2.78, 4 Co 2.85
Ga 0.7521 0.8114 0.5709  2 Co 2.56-2.58, 6 Ga 2.62-2.80
Ga 0.6769 0.1886 0.5709  2 Co 2.56-2.58, 6 Ga 2.62-2.80
Ga 0.0000 0.0000 0.0000  8 Ga 2.78, 4 Co 2.85
Ga 0.6155 0.0709 0.3114  2 Co 2.56-2.58, 6 Ga 2.62-2.80
Ga 0.7521 0.5709 0.8114  2 Co 2.56-2.58, 6 Ga 2.62-2.80
Ga 0.3135 0.0709 0.6886  2 Co 2.56-2.58, 6 Ga 2.62-2.80
Ga 0.1345 0.4291 0.1886  2 Co 2.56-2.58, 6 Ga 2.62-2.80
Ga 0.4365 0.8114 0.4291  2 Co 2.56-2.58, 6 Ga 2.62-2.80
Ga 0.1345 0.1886 0.4291  2 Co 2.56-2.58, 6 Ga 2.62-2.80
Ga 0.9979 0.9291 0.6886  2 Co 2.56-2.58, 6 Ga 2.62-2.80
Ga 0.9979 0.6886 0.9291  2 Co 2.56-2.58, 6 Ga 2.62-2.80
Ga 0.0731 0.9291 0.3114  2 Co 2.56-2.58, 6 Ga 2.62-2.80
Co 0.8750 0.2500 0.7500  10 Ga 2.56-2.85
Co 0.3750 0.7500 0.7500  10 Ga 2.56-2.85
Co 0.8750 0.2500 0.2500  10 Ga 2.56-2.85
Co 0.8750 0.7500 0.2500  10 Ga 2.56-2.85
Ca 0.2500 0.5000 0.5000  10 Ga 3.20-3.33
Ca 0.5000 0.0000 0.0000  10 Ga 3.20-3.33

***

4.
Compound: CaGa5Co2
Source: Alexandria
Functional: PBE-GGA
Structure: relaxed

Computed properties:
* size of the total moment: 0.00 μB/f.u.
* DOS at the Fermi energy: 4.5 states/eV/cell
* formation energy: -31.7 kJ per mole of atoms

Cell lengths 3.9009, 6.3797, 6.3797 Å; angles 66.21, 72.20, 72.20 degrees
With the nearest neighbours (Å) after each atom.
Sites, in units of the cell vectors:
Co 0.2311 0.2689 0.2689  7 Ga 2.30-2.51
Co 0.7689 0.7311 0.7311  7 Ga 2.30-2.51
Ga 0.0000 0.5000 0.5000  2 Co 2.30
Ga 0.3443 0.8542 0.4573  3 Co 2.38-2.51
Ga 0.3443 0.4573 0.8542  3 Co 2.38-2.51
Ga 0.6557 0.1458 0.5427  3 Co 2.38-2.51
Ga 0.6557 0.5427 0.1458  3 Co 2.38-2.51
Ca 0.0000 0.0000 0.0000  10 Ga 3.26-3.48, 4 Co 3.31

***

5.
Compound: Ca2Ga2Co
Source: Alexandria
Functional: PBE-GGA
Structure: relaxed

Computed properties:
* polymorph energy (0 for the lowest one): 197 meV per atom
* size of the total moment: 0.55 μB/f.u.
* DOS at the Fermi energy: 8.2 states/eV/cell
* formation energy: -13.5 kJ per mole of atoms

Cell lengths 6.6539, 6.6539, 4.8345 Å; angles 90.00, 90.00, 90.00 degrees
With the nearest neighbours (Å) after each atom.
Sites, in units of the cell vectors:
Ga 0.8577 0.6423 0.0000  2 Co 2.56, 1 Ga 2.68
Ga 0.1423 0.3577 0.0000  2 Co 2.56, 1 Ga 2.68
Ga 0.3577 0.8577 0.0000  2 Co 2.56, 1 Ga 2.68
Ga 0.6423 0.1423 0.0000  2 Co 2.56, 1 Ga 2.68
Ca 0.3220 0.1780 0.5000  6 Ga 2.95-3.23
Ca 0.1780 0.6780 0.5000  6 Ga 2.95-3.23
Ca 0.6780 0.8220 0.5000  6 Ga 2.95-3.23
Ca 0.8220 0.3220 0.5000  6 Ga 2.95-3.23
Co 0.0000 0.0000 0.0000  4 Ga 2.56
Co 0.5000 0.5000 0.0000  4 Ga 2.56

***

6.
Compound: Ca3Ga7Co2
Source: Alexandria
Functional: PBE-GGA
Structure: relaxed

Computed properties:
* size of the total moment: 0.00 μB/f.u.
* DOS at the Fermi energy: 8.2 states/eV/cell
* formation energy: -34.4 kJ per mole of atoms

Cell lengths 4.5653, 4.5580, 11.5725 Å; angles 101.36, 90.00, 90.00 degrees
With the nearest neighbours (Å) after each atom.
Sites, in units of the cell vectors:
Ca 0.5000 0.6861 0.3722  10 Ga 3.10-3.28
Ca 0.5000 0.3139 0.6278  10 Ga 3.10-3.28
Ca 0.5000 0.5000 0.0000  12 Ga 3.10-3.23
Ga 0.0000 0.4079 0.8157  2 Co 2.30
Ga 0.0000 0.5921 0.1843  2 Co 2.30
Ga 0.5000 0.0938 0.1876  2 Co 2.30
Ga 0.0000 0.7870 0.5739  1 Co 2.43
Ga 0.0000 0.2130 0.4261  1 Co 2.43
Ga 0.0000 0.0000 0.0000  2 Co 2.41
Ga 0.5000 0.9062 0.8124  2 Co 2.30
Co 0.0000 0.1060 0.2120  6 Ga 2.30-2.43
Co 0.0000 0.8940 0.7880  6 Ga 2.30-2.43

***

Question: Number 1 is which compound?
Answer: CaZrFe2Co

***

Question: What is the formation energy in the sixth record?
Answer: -34.4 kJ per mole of atoms